Material: GeSbF2
Method: DFT, PBE
State: optimized geometry

Unit cell a=8.4666 b=8.4666 c=8.4666 alpha=21.17 beta=21.17 gamma=21.17
With the nearest neighbours (Å) after each atom.
Fractional positions:
F1 0.9143 0.9143 0.9143  1 Ge 2.13
F2 0.0857 0.0857 0.0857  1 Ge 2.13
Sb1 0.5000 0.5000 0.5000  6 F 2.70
Ge1 0.0000 0.0000 0.0000  2 F 2.13

Values from the calculation:
E above lowest polymorph ... 0 meV/atom
Space-group type ... No. 166
ρ ... 5.57 g cm⁻³
Magnetic moment ... 0.000 μB per atom
Formation energy from raw total energies ... -1.137 eV/atom